[1]
A plane-wave DFT calculation with GGA-PBE was carried out for a geometry-optimized Ce2Sn8Pd structure.

POSCAR file:
```
Ce2Sn8Pd
1.0
4.756 0.000 0.000
0.000 4.756 0.000
0.000 0.000 12.472
Ce Sn Pd
2 8 1
direct
0.000 0.000 0.184 Ce
0.000 0.000 0.816 Ce
0.000 0.500 0.000 Sn
0.000 0.500 0.374 Sn
0.000 0.500 0.626 Sn
0.500 0.000 0.000 Sn
0.500 0.000 0.374 Sn
0.500 0.000 0.626 Sn
0.500 0.500 0.188 Sn
0.500 0.500 0.812 Sn
0.000 0.000 0.500 Pd
```

Total energy, eV/cell: -53.94
ΔE_f, eV/atom: -0.4412

[2]
A plane-wave DFT calculation with GGA-PBE was carried out for a geometry-optimized CeSn2Pd9 structure.

POSCAR file:
```
CeSn2Pd9
1.0
4.088 0.000 0.000
0.000 4.088 0.000
0.000 0.000 12.179
Ce Sn Pd
1 2 9
direct
0.000 0.000 0.000 Ce
0.000 0.000 0.337 Sn
0.000 0.000 0.663 Sn
0.000 0.500 0.171 Pd
0.000 0.500 0.500 Pd
0.000 0.500 0.829 Pd
0.500 0.000 0.171 Pd
0.500 0.000 0.500 Pd
0.500 0.000 0.829 Pd
0.500 0.500 0.000 Pd
0.500 0.500 0.337 Pd
0.500 0.500 0.663 Pd
```

Total energy, eV/cell: -67.98
ΔE_f, eV/atom: -0.6086

[3]
A plane-wave DFT calculation with GGA-PBE was carried out for a geometry-optimized Ce2Sn3Pd structure.

POSCAR file:
```
Ce2Sn3Pd
1.0
4.023 0.000 0.000
0.000 4.830 0.000
0.000 0.000 8.102
Ce Sn Pd
2 3 1
direct
0.000 0.000 0.000 Ce
0.000 0.500 0.492 Ce
0.500 0.000 0.641 Sn
0.500 0.500 0.175 Sn
0.500 0.500 0.826 Sn
0.500 0.000 0.313 Pd
```

Total energy, eV/cell: -32.60
ΔE_f, eV/atom: -0.5889

[4]
A plane-wave DFT calculation with GGA-PBE was carried out for a geometry-optimized CeSnPd4 structure.

POSCAR file:
```
CeSnPd4
1.0
0.000 3.828 3.828
3.828 0.000 3.828
3.828 3.828 0.000
Ce Sn Pd
1 1 4
direct
0.000 0.000 0.000 Ce
0.250 0.250 0.250 Sn
0.126 0.625 0.625 Pd
0.625 0.126 0.625 Pd
0.625 0.625 0.126 Pd
0.625 0.625 0.625 Pd
```

Total energy, eV/cell: -34.42
ΔE_f, eV/atom: -0.6185